[1]
LuPaZn2 | PBE-GGA | relaxed

```
12
Lattice="3.276 0.000 0.000 -1.638 2.837 0.000 0.000 0.000 28.690" Properties=species:S:1:pos:R:3 pbc="T T T"
Lu 0.000 0.000 0.000
Lu 0.000 1.891 19.127
Lu 1.638 0.946 9.563
Pa 0.000 0.000 14.345
Pa 0.000 1.891 4.782
Pa 1.638 0.946 23.908
Zn 0.000 0.000 7.262
Zn 0.000 0.000 21.428
Zn 0.000 1.891 11.864
Zn 0.000 1.891 26.389
Zn 1.638 0.946 2.301
Zn 1.638 0.946 16.826
```

Summary:
**Formation energy from the elements**: 0.0081 eV/atom
**Crystal system**: trigonal
**SG**: R-3m, No. 166
**Theoretical density**: 10.0 Mg/m³

[2]
Pm8Ge5Pt | PBE-GGA | relaxed

```
14
Lattice="-4.521 4.521 4.585 4.521 -4.521 4.585 4.521 4.521 -4.585" Properties=species:S:1:pos:R:3 pbc="T T T"
Pm 3.946 2.804 -1.765
Pm 6.191 0.611 0.580
Pm 0.611 2.851 -0.580
Pm 0.575 1.716 2.820
Pm 3.910 1.670 4.005
Pm 1.716 -0.575 6.349
Pm 2.804 5.096 1.765
Pm -1.670 3.910 5.165
Ge 0.000 0.000 0.000
Ge 2.257 -1.107 3.448
Ge 3.414 2.264 1.137
Ge 2.264 5.628 -1.137
Ge 1.107 2.257 5.722
Pt 0.000 4.521 2.292
```

Summary:
**Formation energy from the elements**: -0.8261 eV/atom
**Crystal system**: tetragonal
**SG**: I-4, No. 82
**Theoretical density**: 7.6 Mg/m³

[3]
SrCa2Re | PBE-GGA | relaxed

```
8
Lattice="6.694 0.000 0.000 0.000 10.088 0.000 0.000 0.000 3.289" Properties=species:S:1:pos:R:3 pbc="T T T"
Sr 0.000 0.000 0.000
Sr 3.347 5.044 0.000
Ca 1.674 2.522 1.644
Ca 1.674 7.566 1.644
Ca 5.021 2.522 1.644
Ca 5.021 7.566 1.644
Re 0.000 5.044 0.000
Re 3.347 0.000 0.000
```

Summary:
**Formation energy from the elements**: 0.9792 eV/atom
**Crystal system**: orthorhombic
**SG**: Cmmm, No. 65
**Theoretical density**: 5.3 Mg/m³

[4]
SiPdN2 | PBE-GGA | relaxed

```
12
Lattice="2.805 0.000 0.000 -1.402 2.429 0.000 0.000 0.000 17.938" Properties=species:S:1:pos:R:3 pbc="T T T"
Si 0.000 0.000 0.000
Si 0.000 1.619 11.959
Si 1.402 0.810 5.979
Pd 0.000 0.000 8.969
Pd 0.000 1.619 2.990
Pd 1.402 0.810 14.948
N 0.000 0.000 6.968
N 0.000 0.000 10.970
N 0.000 1.619 0.988
N 0.000 1.619 4.991
N 1.402 0.810 12.947
N 1.402 0.810 16.950
```

Summary:
**Crystal system**: trigonal
**SG**: R-3m, No. 166
**Formation energy (no corrections)**: -145 meV/atom
**Theoretical density**: 6.6 Mg/m³